(1)
A relaxed structure of Pr6Sm12Pb, computed with GGA-PBE.

## Properties
The calculation puts the formation energy at 66 meV/atom. As for the total energy: -4.62 eV per atom. As for the space-group type: No. 148.

Cell: 8.8294 8.8294 8.8294 Å, 97.63 97.63 97.63°
Closest atoms and distances in Å follow each position.
Sites, in units of the cell vectors:
Pr 0.0917 0.3663 0.3646  4 Sm 3.41-3.54, 1 Pb 3.63, 3 Pr 3.64-3.80
Pr 0.3646 0.0917 0.3663  4 Sm 3.41-3.54, 1 Pb 3.63, 3 Pr 3.64-3.80
Pr 0.3663 0.3646 0.0917  4 Sm 3.41-3.54, 1 Pb 3.63, 3 Pr 3.64-3.80
Pr 0.6337 0.6354 0.9083  4 Sm 3.41-3.54, 1 Pb 3.63, 3 Pr 3.64-3.80
Pr 0.6354 0.9083 0.6337  4 Sm 3.41-3.54, 1 Pb 3.63, 3 Pr 3.64-3.80
Pr 0.9083 0.6337 0.6354  4 Sm 3.41-3.54, 1 Pb 3.63, 3 Pr 3.64-3.80
Sm 0.0819 0.0824 0.6712  5 Sm 3.23-3.59
Sm 0.0824 0.6712 0.0819  5 Sm 3.23-3.59
Sm 0.2411 0.4990 0.7589  4 Pr 3.41-3.54, 1 Pb 3.44, 6 Sm 3.44-3.72
Sm 0.2411 0.7589 0.5010  4 Pr 3.41-3.54, 1 Pb 3.44, 6 Sm 3.44-3.72
Sm 0.3288 0.9181 0.9176  5 Sm 3.23-3.59
Sm 0.4990 0.7589 0.2411  4 Pr 3.41-3.54, 1 Pb 3.44, 6 Sm 3.44-3.72
Sm 0.5010 0.2411 0.7589  4 Pr 3.41-3.54, 1 Pb 3.44, 6 Sm 3.44-3.72
Sm 0.6712 0.0819 0.0824  5 Sm 3.23-3.59
Sm 0.7589 0.2411 0.4990  4 Pr 3.41-3.54, 1 Pb 3.44, 6 Sm 3.44-3.72
Sm 0.7589 0.5010 0.2411  4 Pr 3.41-3.54, 1 Pb 3.44, 6 Sm 3.44-3.72
Sm 0.9176 0.3288 0.9181  5 Sm 3.23-3.59
Sm 0.9181 0.9176 0.3288  5 Sm 3.23-3.59
Pb 0.5000 0.5000 0.5000  6 Sm 3.44, 6 Pr 3.63



(2)
A relaxed structure of PrSmPb, computed with GGA-PBE.

## Properties
The calculation puts the formation energy at -428 meV/atom. The energy above the most stable polymorph in this dataset is 0.020 eV/atom. As for the total energy: -4.83 eV per atom. As for the space-group type: No. 129.

Cell: 4.6686 4.6686 8.9524 Å, 90.00 90.00 90.00°
Closest atoms and distances in Å follow each position.
Sites, in units of the cell vectors:
Pr 0.2500 0.7500 0.0000  4 Pr 3.30, 4 Pb 3.48
Pr 0.7500 0.2500 0.0000  4 Pr 3.30, 4 Pb 3.48
Sm 0.2500 0.2500 0.3490  5 Pb 3.25-3.35
Sm 0.7500 0.7500 0.6510  5 Pb 3.25-3.35
Pb 0.2500 0.2500 0.7117  5 Sm 3.25-3.35, 4 Pr 3.48
Pb 0.7500 0.7500 0.2883  5 Sm 3.25-3.35, 4 Pr 3.48



(3)
A relaxed structure of Pr5SmPb6, computed with GGA-PBE.

## Properties
The calculation puts the formation energy at -523 meV/atom. As for the total energy: -4.76 eV per atom. As for the space-group type: No. 10.

Cell: 5.0858 9.2759 8.1361 Å, 90.00 107.57 90.00°
Closest atoms and distances in Å follow each position.
Sites, in units of the cell vectors:
Pr 0.0000 0.0000 0.0000  8 Pb 3.45-3.47, 4 Pr 3.61-3.65
Pr 0.3333 0.0000 0.6665  8 Pb 3.45-3.49, 4 Pr 3.60-3.65
Pr 0.3340 0.5000 0.6682  8 Pb 3.43-3.48, 2 Sm 3.60-3.64, 2 Pr 3.62-3.66
Pr 0.6660 0.5000 0.3318  8 Pb 3.43-3.48, 2 Sm 3.60-3.64, 2 Pr 3.62-3.66
Pr 0.6667 0.0000 0.3335  8 Pb 3.45-3.49, 4 Pr 3.60-3.65
Sm 0.0000 0.5000 0.0000  8 Pb 3.43-3.45, 4 Pr 3.60-3.64
Pb 0.1657 0.2514 0.3315  7 Pr 3.43-3.49, 1 Sm 3.45, 4 Pb 3.60-3.67
Pb 0.1657 0.7486 0.3315  7 Pr 3.43-3.49, 1 Sm 3.45, 4 Pb 3.60-3.67
Pb 0.5000 0.2515 0.0000  2 Sm 3.43, 6 Pr 3.45-3.48, 4 Pb 3.60-3.64
Pb 0.5000 0.7485 0.0000  2 Sm 3.43, 6 Pr 3.45-3.48, 4 Pb 3.60-3.64
Pb 0.8343 0.2514 0.6685  7 Pr 3.43-3.49, 1 Sm 3.45, 4 Pb 3.60-3.67
Pb 0.8343 0.7486 0.6685  7 Pr 3.43-3.49, 1 Sm 3.45, 4 Pb 3.60-3.67



(4)
A relaxed structure of PrSm14Pb, computed with GGA-PBE.

## Properties
The calculation puts the formation energy at -46 meV/atom. As for the total energy: -4.71 eV per atom. As for the space-group type: No. 38.

Cell: 11.5248 7.3090 7.3090 Å, 60.11 90.00 90.00°
Closest atoms and distances in Å follow each position.
Sites, in units of the cell vectors:
Pr 0.0000 0.0000 0.0000  10 Sm 3.50-3.80, 2 Pb 3.66
Sm 0.0000 0.5210 0.9991  8 Sm 3.50-3.82, 2 Pr 3.50-3.80, 2 Pb 3.64-3.67
Sm 0.0000 0.9991 0.5210  8 Sm 3.50-3.82, 2 Pr 3.50-3.80, 2 Pb 3.64-3.67
Sm 0.2382 0.3445 0.3445  1 Pb 3.44, 11 Sm 3.51-3.72
Sm 0.2397 0.3455 0.8347  1 Pb 3.45, 10 Sm 3.50-3.74, 1 Pr 3.53
Sm 0.2397 0.8347 0.3455  1 Pb 3.45, 10 Sm 3.50-3.74, 1 Pr 3.53
Sm 0.2632 0.8412 0.8412  11 Sm 3.48-3.67, 1 Pr 3.64
Sm 0.5000 0.0130 0.4994  12 Sm 3.48-3.76
Sm 0.5000 0.0138 0.0138  12 Sm 3.50-3.76
Sm 0.5000 0.4994 0.0130  12 Sm 3.48-3.76
Sm 0.5000 0.5085 0.5085  12 Sm 3.64-3.66
Sm 0.7368 0.8412 0.8412  11 Sm 3.48-3.67, 1 Pr 3.64
Sm 0.7603 0.3455 0.8347  1 Pb 3.45, 10 Sm 3.50-3.74, 1 Pr 3.53
Sm 0.7603 0.8347 0.3455  1 Pb 3.45, 10 Sm 3.50-3.74, 1 Pr 3.53
Sm 0.7618 0.3445 0.3445  1 Pb 3.44, 11 Sm 3.51-3.72
Pb 0.0000 0.5081 0.5081  10 Sm 3.44-3.67, 2 Pr 3.66



(5)
A relaxed structure of Pr2Sm3Pb, computed with GGA-PBE.

## Properties
The calculation puts the formation energy at -183 meV/atom. As for the total energy: -4.75 eV per atom. As for the space-group type: No. 65.

Cell: 8.2382 8.2382 4.9925 Å, 90.00 90.00 144.83°
Closest atoms and distances in Å follow each position.
Sites, in units of the cell vectors:
Pr 0.1621 0.8379 0.0000  8 Sm 3.53-3.71, 2 Pb 3.56, 2 Pr 3.72
Pr 0.8379 0.1621 0.0000  8 Sm 3.53-3.71, 2 Pb 3.56, 2 Pr 3.72
Sm 0.0000 0.0000 0.5000  4 Pb 3.53, 4 Pr 3.57, 4 Sm 3.57
Sm 0.3369 0.6631 0.5000  6 Pr 3.53-3.71, 4 Sm 3.57-3.69, 2 Pb 3.58
Sm 0.6631 0.3369 0.5000  6 Pr 3.53-3.71, 4 Sm 3.57-3.69, 2 Pb 3.58
Pb 0.5000 0.5000 0.0000  8 Sm 3.53-3.58, 4 Pr 3.56



(6)
A relaxed structure of Pr2Sm3Pb4, computed with GGA-PBE.

## Properties
The calculation puts the formation energy at -451 meV/atom. The energy above the most stable polymorph in this dataset is 0.147 eV/atom. As for the total energy: -4.73 eV per atom. As for the space-group type: No. 64.

Cell: 9.5339 9.5339 9.2087 Å, 90.00 90.00 135.13°
Closest atoms and distances in Å follow each position.
Sites, in units of the cell vectors:
Pr 0.1109 0.8891 0.9102  3 Pb 3.41-3.51
Pr 0.3891 0.6109 0.4102  3 Pb 3.41-3.51
Pr 0.6109 0.3891 0.5898  3 Pb 3.41-3.51
Pr 0.8891 0.1109 0.0898  3 Pb 3.41-3.51
Sm 0.0000 0.0000 0.5000  6 Pb 2.98-3.30
Sm 0.0441 0.4559 0.7500  5 Pb 3.11-3.38
Sm 0.4559 0.0441 0.2500  5 Pb 3.11-3.38
Sm 0.5000 0.5000 0.0000  6 Pb 2.98-3.30
Sm 0.5441 0.9559 0.7500  5 Pb 3.11-3.38
Sm 0.9559 0.5441 0.2500  5 Pb 3.11-3.38
Pb 0.1851 0.8149 0.5565  5 Sm 3.19-3.38, 1 Pr 3.51
Pb 0.2206 0.2794 0.7500  3 Sm 2.98-3.11
Pb 0.2794 0.2206 0.2500  3 Sm 2.98-3.11
Pb 0.3149 0.6851 0.0565  5 Sm 3.19-3.38, 1 Pr 3.51
Pb 0.6851 0.3149 0.9435  5 Sm 3.19-3.38, 1 Pr 3.51
Pb 0.7206 0.7794 0.7500  3 Sm 2.98-3.11
Pb 0.7794 0.7206 0.2500  3 Sm 2.98-3.11
Pb 0.8149 0.1851 0.4435  5 Sm 3.19-3.38, 1 Pr 3.51



(7)
A relaxed structure of PrSm5Pb5, computed with GGA-PBE.

## Properties
The calculation puts the formation energy at -315 meV/atom. As for the total energy: -4.58 eV per atom. As for the space-group type: No. 12.

Cell: 7.9289 7.9289 8.7825 Å, 105.87 105.87 47.46°
Closest atoms and distances in Å follow each position.
Sites, in units of the cell vectors:
Pr 0.0000 0.0000 0.0000  6 Pb 3.19-3.22
Sm 0.0000 0.0000 0.5000  4 Pb 3.15
Sm 0.3315 0.3315 0.1658  5 Pb 3.19-3.22
Sm 0.3361 0.3361 0.6645  5 Pb 3.17-3.19
Sm 0.6639 0.6639 0.3355  5 Pb 3.17-3.19
Sm 0.6685 0.6685 0.8342  5 Pb 3.19-3.22
Pb 0.1664 0.1664 0.3382  5 Sm 3.15-3.19, 1 Pr 3.22
Pb 0.1665 0.1665 0.8260  5 Sm 3.15-3.22, 1 Pr 3.22
Pb 0.5000 0.5000 0.0000  4 Sm 3.19-3.20, 2 Pr 3.19
Pb 0.8335 0.8335 0.1740  5 Sm 3.15-3.22, 1 Pr 3.22
Pb 0.8336 0.8336 0.6618  5 Sm 3.15-3.19, 1 Pr 3.22



(8)
A relaxed structure of Pr2Sm3Pb4, computed with GGA-PBE.

## Properties
The calculation puts the formation energy at -598 meV/atom. The energy above the most stable polymorph in this dataset is 0.000 eV/atom. As for the total energy: -4.88 eV per atom. As for the space-group type: No. 14.

Cell: 8.6276 8.6079 8.3205 Å, 90.00 111.37 90.00°
Closest atoms and distances in Å follow each position.
Sites, in units of the cell vectors:
Pr 0.1944 0.1801 0.0596  5 Pb 3.25-3.57
Pr 0.1944 0.3199 0.5596  5 Pb 3.25-3.57
Pr 0.8056 0.6801 0.4404  5 Pb 3.25-3.57
Pr 0.8056 0.8199 0.9404  5 Pb 3.25-3.57
Sm 0.2439 0.6621 0.2373  6 Pb 3.14-3.33
Sm 0.2439 0.8379 0.7373  6 Pb 3.14-3.33
Sm 0.5000 0.0000 0.5000  6 Pb 3.27-3.35
Sm 0.5000 0.5000 0.0000  6 Pb 3.27-3.35
Sm 0.7561 0.1621 0.2627  6 Pb 3.14-3.33
Sm 0.7561 0.3379 0.7627  6 Pb 3.14-3.33
Pb 0.0850 0.5388 0.8305  4 Sm 3.14-3.35, 2 Pr 3.33-3.48
Pb 0.0850 0.9612 0.3305  4 Sm 3.14-3.35, 2 Pr 3.33-3.48
Pb 0.4891 0.1393 0.8615  5 Sm 3.21-3.30, 2 Pr 3.25-3.52, 1 Pb 3.28
Pb 0.4891 0.3607 0.3615  5 Sm 3.21-3.30, 2 Pr 3.25-3.52, 1 Pb 3.28
Pb 0.5109 0.6393 0.6385  5 Sm 3.21-3.30, 2 Pr 3.25-3.52, 1 Pb 3.28
Pb 0.5109 0.8607 0.1385  5 Sm 3.21-3.30, 2 Pr 3.25-3.52, 1 Pb 3.28
Pb 0.9150 0.0388 0.6695  4 Sm 3.14-3.35, 2 Pr 3.33-3.48
Pb 0.9150 0.4612 0.1695  4 Sm 3.14-3.35, 2 Pr 3.33-3.48